1.
# PBE Gd2InH, optimized geometry
# * final energy: -8.8941 eV per atom
# * DOS at the Fermi energy: 12.5 states/eV/cell
# * magnetization: 14.70 μB per formula unit
# * calculated density: 7.94 g/cm3
data_Gd2InH
_cell_length_a 3.6282
_cell_length_b 3.6282
_cell_length_c 23.6683
_cell_angle_alpha 90.00
_cell_angle_beta 90.00
_cell_angle_gamma 120.00
_space_group_name_H-M_alt 'R -3 m'
_space_group_IT_number 166
_space_group_name_Hall '-R 3 2"'
loop_
_atom_site_label
_atom_site_type_symbol
_atom_site_fract_x
_atom_site_fract_y
_atom_site_fract_z
Gd1 Gd 0.0000 0.0000 0.2259
In1 In 0.0000 0.0000 0.0000
H1 H 0.0000 0.0000 0.5000

***

2.
# PBE GdInH, optimized geometry
# * final energy: -7.1416 eV per atom
# * DOS at the Fermi energy: 1.5 states/eV/cell
# * magnetization: 7.19 μB per formula unit
# * calculated density: 7.30 g/cm3
data_GdInH
_cell_length_a 3.6618
_cell_length_b 3.6618
_cell_length_c 5.3521
_cell_angle_alpha 90.00
_cell_angle_beta 90.00
_cell_angle_gamma 120.00
_space_group_name_H-M_alt 'P 3 m 1'
_space_group_IT_number 156
loop_
_space_group_symop_operation_xyz
'x,y,z'
'-y,x-y,z'
'-x+y,-x,z'
'-y,-x,z'
'-x+y,y,z'
'x,x-y,z'
loop_
_atom_site_label
_atom_site_type_symbol
_atom_site_fract_x
_atom_site_fract_y
_atom_site_fract_z
Gd1 Gd 0.0000 0.0000 0.0000
In1 In 0.6667 0.3333 0.5000
H1 H 0.3333 0.6667 0.9975

***

3.
# PBE Gd4In2H, optimized geometry
# * final energy: -9.6879 eV per atom
# * DOS at the Fermi energy: 15.0 states/eV/cell
# * magnetization: 0.26 μB per formula unit
# * calculated density: 7.78 g/cm3
data_Gd4In2H
_cell_length_a 4.643
_cell_length_b 4.643
_cell_length_c 17.027
_cell_angle_alpha 90.00
_cell_angle_beta 90.00
_cell_angle_gamma 90.00
_space_group_name_H-M_alt 'I 4/m m m'
_space_group_IT_number 139
_space_group_name_Hall '-I 4 2'
loop_
_atom_site_label
_atom_site_type_symbol
_atom_site_fract_x
_atom_site_fract_y
_atom_site_fract_z
Gd1 Gd 0.000 0.000 0.178
Gd2 Gd 0.000 0.500 0.000
In1 In 0.000 0.000 0.365
H1 H 0.000 0.000 0.000

***

4.
# PBE GdInH, optimized geometry
# * final energy: -6.9624 eV per atom
# * DOS at the Fermi energy: 4.4 states/eV/cell
# * magnetization: 7.64 μB per formula unit
# * calculated density: 7.44 g/cm3
data_GdInH
_cell_length_a 3.223
_cell_length_b 3.223
_cell_length_c 11.734
_cell_angle_alpha 90.00
_cell_angle_beta 90.00
_cell_angle_gamma 90.00
_space_group_name_H-M_alt 'I 4 m m'
_space_group_IT_number 107
_space_group_name_Hall 'I 4 -2'
loop_
_atom_site_label
_atom_site_type_symbol
_atom_site_fract_x
_atom_site_fract_y
_atom_site_fract_z
Gd1 Gd 0.000 0.000 0.000
In1 In 0.000 0.000 0.277
H1 H 0.000 0.000 0.534

***

5.
# PBE GdH3Ir, optimized geometry
# * final energy: -7.1102 eV per atom
# * DOS at the Fermi energy: 1.7 states/eV/cell
# * magnetization: 7.02 μB per formula unit
# * calculated density: 11.48 g/cm3
data_GdH3Ir
_cell_length_a 3.708
_cell_length_b 3.708
_cell_length_c 3.708
_cell_angle_alpha 90.00
_cell_angle_beta 90.00
_cell_angle_gamma 90.00
_space_group_name_H-M_alt 'P m -3 m'
_space_group_IT_number 221
_space_group_name_Hall '-P 4 2 3'
loop_
_atom_site_label
_atom_site_type_symbol
_atom_site_fract_x
_atom_site_fract_y
_atom_site_fract_z
Gd1 Gd 0.000 0.000 0.000
H1 H 0.000 0.500 0.500
Ir1 Ir 0.500 0.500 0.500

***

6.
# PBE GdHIr, optimized geometry
# * final energy: -9.3067 eV per atom
# * DOS at the Fermi energy: 6.4 states/eV/cell
# * magnetization: 7.03 μB per formula unit
# * calculated density: 10.76 g/cm3
data_GdHIr
_cell_length_a 4.2484
_cell_length_b 4.2484
_cell_length_c 20.7608
_cell_angle_alpha 90.00
_cell_angle_beta 90.00
_cell_angle_gamma 120.00
_space_group_name_H-M_alt 'R -3 m'
_space_group_IT_number 166
_space_group_name_Hall '-R 3 2"'
loop_
_atom_site_label
_atom_site_type_symbol
_atom_site_fract_x
_atom_site_fract_y
_atom_site_fract_z
Gd1 Gd 0.0000 0.0000 0.0905
H1 H 0.0000 0.0000 0.2024
Ir1 Ir 0.0000 0.0000 0.3350

***

7.
# PBE GdHIr, optimized geometry
# * final energy: -9.0233 eV per atom
# * DOS at the Fermi energy: 1.8 states/eV/cell
# * magnetization: 7.00 μB per formula unit
# * calculated density: 12.29 g/cm3
data_GdHIr
_cell_length_a 3.8317
_cell_length_b 3.8317
_cell_length_c 3.7248
_cell_angle_alpha 90.00
_cell_angle_beta 90.00
_cell_angle_gamma 120.00
_space_group_name_H-M_alt 'P -6 m 2'
_space_group_IT_number 187
_space_group_name_Hall 'P -6 2'
loop_
_atom_site_label
_atom_site_type_symbol
_atom_site_fract_x
_atom_site_fract_y
_atom_site_fract_z
Gd1 Gd 0.0000 0.0000 0.0000
H1 H 0.3333 0.6667 0.5000
Ir1 Ir 0.6667 0.3333 0.5000

***

8.
# PBE Gd2H4Ir, optimized geometry
# * final energy: -7.6506 eV per atom
# * DOS at the Fermi energy: 7.1 states/eV/cell
# * magnetization: 15.21 μB per formula unit
# * calculated density: 9.87 g/cm3
data_Gd2H4Ir
_cell_length_a 3.708
_cell_length_b 3.708
_cell_length_c 12.494
_cell_angle_alpha 90.00
_cell_angle_beta 90.00
_cell_angle_gamma 90.00
_space_group_name_H-M_alt 'I 4/m m m'
_space_group_IT_number 139
_space_group_name_Hall '-I 4 2'
loop_
_atom_site_label
_atom_site_type_symbol
_atom_site_fract_x
_atom_site_fract_y
_atom_site_fract_z
Gd1 Gd 0.000 0.000 0.146
H1 H 0.000 0.000 0.357
H2 H 0.000 0.500 0.000
Ir1 Ir 0.000 0.000 0.500

***

9.
# PBE KGd2H, optimized geometry
# * final energy: -8.1229 eV per atom
# * DOS at the Fermi energy: 15.8 states/eV/cell
# * magnetization: 15.30 μB per formula unit
# * calculated density: 4.96 g/cm3
data_KGd2H
_cell_length_a 3.6733
_cell_length_b 3.6733
_cell_length_c 30.5056
_cell_angle_alpha 90.00
_cell_angle_beta 90.00
_cell_angle_gamma 120.00
_space_group_name_H-M_alt 'R -3 m'
_space_group_IT_number 166
_space_group_name_Hall '-R 3 2"'
loop_
_atom_site_label
_atom_site_type_symbol
_atom_site_fract_x
_atom_site_fract_y
_atom_site_fract_z
K1 K 0.0000 0.0000 0.0000
Gd1 Gd 0.0000 0.0000 0.1228
H1 H 0.0000 0.0000 0.5000

***

10.
# PBE La2GdH, optimized geometry
# * final energy: -6.9710 eV per atom
# * DOS at the Fermi energy: 15.2 states/eV/cell
# * magnetization: 7.33 μB per formula unit
# * calculated density: 6.68 g/cm3
data_La2GdH
_cell_length_a 3.7339
_cell_length_b 3.7339
_cell_length_c 26.9144
_cell_angle_alpha 90.00
_cell_angle_beta 90.00
_cell_angle_gamma 120.00
_space_group_name_H-M_alt 'R -3 m'
_space_group_IT_number 166
_space_group_name_Hall '-R 3 2"'
loop_
_atom_site_label
_atom_site_type_symbol
_atom_site_fract_x
_atom_site_fract_y
_atom_site_fract_z
La1 La 0.0000 0.0000 0.2232
Gd1 Gd 0.0000 0.0000 0.0000
H1 H 0.0000 0.0000 0.5000

***

11.
# PBE La2GdH4, optimized geometry
# * final energy: -5.6415 eV per atom
# * DOS at the Fermi energy: 10.0 states/eV/cell
# * magnetization: 7.52 μB per formula unit
# * calculated density: 6.27 g/cm3
data_La2GdH4
_cell_length_a 4.126
_cell_length_b 4.126
_cell_length_c 13.656
_cell_angle_alpha 90.00
_cell_angle_beta 90.00
_cell_angle_gamma 90.00
_space_group_name_H-M_alt 'I 4/m m m'
_space_group_IT_number 139
_space_group_name_Hall '-I 4 2'
loop_
_atom_site_label
_atom_site_type_symbol
_atom_site_fract_x
_atom_site_fract_y
_atom_site_fract_z
La1 La 0.000 0.000 0.162
Gd1 Gd 0.000 0.000 0.500
H1 H 0.000 0.000 0.336
H2 H 0.000 0.500 0.000

***

12.
# PBE LaGdH, optimized geometry
# * final energy: -7.5947 eV per atom
# * DOS at the Fermi energy: 13.0 states/eV/cell
# * magnetization: 7.43 μB per formula unit
# * calculated density: 7.24 g/cm3
data_LaGdH
_cell_length_a 6.523
_cell_length_b 6.441
_cell_length_c 6.489
_cell_angle_alpha 90.00
_cell_angle_beta 90.00
_cell_angle_gamma 90.00
_space_group_name_H-M_alt 'P c a 21'
_space_group_IT_number 29
loop_
_space_group_symop_operation_xyz
'x,y,z'
'-x,-y,z+1/2'
'-x+1/2,y,z+1/2'
'x+1/2,-y,z'
loop_
_atom_site_label
_atom_site_type_symbol
_atom_site_fract_x
_atom_site_fract_y
_atom_site_fract_z
La1 La 0.152 0.101 0.000
Gd1 Gd 0.133 0.597 0.786
H1 H 0.007 0.738 0.145